1.
VASP calculation (PBE-GGA) on crystalline Zr3Co2Cu3 at its relaxed geometry.

Properties
* DOS at the Fermi energy: 9.62 states/eV per cell

Cell: 6.685 6.685 3.308 Å, 90.00 90.00 120.00°
Positions (direct):
Zr 0.000 0.411 0.000
Zr 0.411 0.000 0.000
Zr 0.589 0.589 0.000
Co 0.333 0.667 0.500
Co 0.667 0.333 0.500
Cu 0.000 0.775 0.500
Cu 0.225 0.225 0.500
Cu 0.775 0.000 0.500


2.
VASP calculation (PBE-GGA) on crystalline ZrCoCu2 at its relaxed geometry.

Properties
* DOS at the Fermi energy: 16.51 states/eV per cell

Cell: 2.763 2.763 26.485 Å, 90.00 90.00 120.00°
Positions (direct):
Zr 0.000 0.000 0.000
Zr 0.333 0.667 0.667
Zr 0.667 0.333 0.333
Co 0.000 0.000 0.500
Co 0.333 0.667 0.167
Co 0.667 0.333 0.833
Cu 0.000 0.000 0.241
Cu 0.000 0.000 0.759
Cu 0.333 0.667 0.426
Cu 0.333 0.667 0.908
Cu 0.667 0.333 0.092
Cu 0.667 0.333 0.574


3.
VASP calculation (PBE-GGA) on crystalline ZrCoCu2 at its relaxed geometry.

Properties
* DOS at the Fermi energy: 2.45 states/eV per cell

Cell: 2.807 3.913 5.130 Å, 90.00 90.00 90.00°
Positions (direct):
Zr 0.000 0.000 0.000
Co 0.000 0.000 0.500
Cu 0.500 0.500 0.272
Cu 0.500 0.500 0.728


4.
VASP calculation (PBE-GGA) on crystalline Zr6Co2Cu at its relaxed geometry.

Properties
* DOS at the Fermi energy: 20.47 states/eV per cell

Cell: 7.712 7.712 7.712 Å, 115.15 111.94 101.62°
Positions (direct):
Zr 0.036 0.231 0.805
Zr 0.187 0.297 0.484
Zr 0.187 0.703 0.890
Zr 0.327 0.025 0.698
Zr 0.327 0.629 0.302
Zr 0.426 0.231 0.195
Zr 0.574 0.769 0.805
Zr 0.673 0.371 0.698
Zr 0.673 0.975 0.302
Zr 0.813 0.297 0.110
Zr 0.813 0.703 0.516
Zr 0.964 0.769 0.195
Co 0.128 0.628 0.500
Co 0.342 0.000 0.342
Co 0.658 0.000 0.658
Co 0.872 0.372 0.500
Cu 0.000 0.000 0.000
Cu 0.500 0.500 0.000


Number 1: energy of formation -0.205 eV per atom, calculated total energy -53.79 eV/cell. Number 2: energy of formation 0.307 eV per atom, calculated total energy -67.86 eV/cell. Number 3: energy of formation 0.035 eV per atom, calculated total energy -23.71 eV/cell. Number 4: energy of formation -0.160 eV per atom, calculated total energy -142.07 eV/cell.